Entry 1:
A plane-wave DFT calculation with PBE was carried out for crystalline LaBeCd3 at its relaxed geometry.

Results
formation energy	-0.028	eV per atom
crystal system	cubic

abc: 4.8506 4.8506 4.8506
angles: 90.00 90.00 90.00
Element x y z (fractional)
Cd 0.0000 0.0000 0.5000
Be 0.0000 0.0000 0.0000
La 0.5000 0.5000 0.5000
Cd 0.5000 0.0000 0.0000
Cd 0.0000 0.5000 0.0000


Entry 2:
A plane-wave DFT calculation with PBE was carried out for crystalline ZnTcSe2 at its relaxed geometry.

Results
crystal system	trigonal
uncorrected formation energy	-0.0227	eV per atom

abc: 9.7872 9.7872 9.7872
angles: 18.39 18.39 18.39
Element x y z (fractional)
Se 0.8955 0.8955 0.8955
Tc 0.5000 0.5000 0.5000
Se 0.1045 0.1045 0.1045
Zn 0.0000 0.0000 0.0000


Entry 3:
A plane-wave DFT calculation with PBE was carried out for crystalline NaZn3Ir at its relaxed geometry.

Results
formation energy	-0.051	eV per atom
crystal system	cubic

abc: 4.8519 4.8519 4.8519
angles: 90.00 90.00 90.00
Element x y z (fractional)
Zn 0.0000 0.0000 0.5000
Zn 0.0000 0.5000 0.0000
Na 0.5000 0.5000 0.5000
Ir 0.0000 0.0000 0.0000
Zn 0.5000 0.0000 0.0000


Entry 4:
A plane-wave DFT calculation with PBE was carried out for crystalline Sc2TaSb at its relaxed geometry.

Results
crystal system	monoclinic
uncorrected formation energy	-0.1391	eV per atom

abc: 5.4538 5.4538 5.2571
angles: 79.43 79.43 33.98
Element x y z (fractional)
Sb 0.7603 0.7603 0.7503
Ta 0.4895 0.4895 0.4975
Sc 0.2377 0.2377 0.2711
Sc 0.0125 0.0125 0.9811


Entry 5:
A plane-wave DFT calculation with PBE was carried out for crystalline Pa2TlP at its relaxed geometry.

Results
formation energy	-0.407	eV per atom
crystal system	tetragonal

abc: 3.3765 3.3765 8.0646
angles: 90.00 90.00 90.00
Element x y z (fractional)
Pa 0.0000 0.0000 0.7953
Pa 0.0000 0.0000 0.2047
P 0.5000 0.5000 0.0000
Tl 0.5000 0.5000 0.5000


Entry 6:
A plane-wave DFT calculation with PBE was carried out for crystalline Sc2Fe2P2C at its relaxed geometry.

Results
formation energy	-0.878	eV per atom
crystal system	monoclinic

abc: 3.6729 5.3747 5.4241
angles: 70.96 70.21 70.02
Element x y z (fractional)
Fe 0.7966 0.3154 0.0914
C 0.0000 0.0000 0.0000
P 0.1617 0.3717 0.3049
P 0.8383 0.6283 0.6951
Fe 0.2034 0.6846 0.9086
Sc 0.5643 0.1711 0.7002
Sc 0.4357 0.8289 0.2998


Entry 7:
A plane-wave DFT calculation with PBE was carried out for crystalline PmDy7Th3 at its relaxed geometry.

Results
formation energy	0.214	eV per atom
crystal system	trigonal

abc: 8.5707 7.0760 7.0760
angles: 120.00 90.00 90.00
Element x y z (fractional)
Dy 0.4521 0.8318 0.1682
Dy 0.4521 0.3363 0.1682
Dy 0.1130 0.1677 0.3353
Th 0.7840 0.5008 0.4992
Dy 0.1130 0.6647 0.8323
Th 0.7840 0.9984 0.4992
Dy 0.4521 0.8318 0.6637
Dy 0.1130 0.1677 0.8323
Dy 0.1115 0.6667 0.3333
Pm 0.4560 0.3333 0.6667
Th 0.7840 0.5008 0.0016


Entry 8:
A plane-wave DFT calculation with PBE was carried out for crystalline Os2PdRh2 at its relaxed geometry.

Results
formation energy	0.405	eV per atom
crystal system	tetragonal

abc: 7.5142 7.5142 2.7077
angles: 90.00 90.00 90.00
Element x y z (fractional)
Rh 0.1224 0.3776 0.0000
Os 0.1734 0.6734 0.5000
Pd 0.5000 0.5000 0.0000
Rh 0.3776 0.8776 0.0000
Pd 0.0000 0.0000 0.0000
Os 0.3266 0.1734 0.5000
Os 0.8266 0.3266 0.5000
Rh 0.8776 0.6224 0.0000
Os 0.6734 0.8266 0.5000
Rh 0.6224 0.1224 0.0000


Entry 9:
A plane-wave DFT calculation with PBE was carried out for crystalline HoEr4Tm at its relaxed geometry.

Results
formation energy	0.266	eV per atom
crystal system	cubic

abc: 6.4709 6.4709 6.4709
angles: 60.00 60.00 60.00
Element x y z (fractional)
Er 0.6250 0.6250 0.6250
Er 0.1249 0.6250 0.6250
Er 0.6250 0.6250 0.1249
Tm 0.2500 0.2500 0.2500
Er 0.6250 0.1249 0.6250
Ho 0.0000 0.0000 0.0000


Entry 10:
A plane-wave DFT calculation with PBE was carried out for crystalline Li2HgH at its relaxed geometry.

Results
crystal system	tetragonal
electronic total energy	-2.132	eV per atom

abc: 5.7871 5.7871 5.3888
angles: 57.52 57.52 90.00
Element x y z (fractional)
H 0.5000 0.5000 0.0000
Hg 0.7500 0.2500 0.5000
Hg 0.0000 0.0000 0.0000
Li 0.3750 0.5302 0.7500
Li 0.4698 0.1250 0.2500
Li 0.8750 0.7198 0.7500
H 0.2500 0.7500 0.5000
Li 0.2802 0.6250 0.2500


Entry 11:
A plane-wave DFT calculation with PBE was carried out for crystalline Co2SiIr at its relaxed geometry.

Results
crystal system	tetragonal
uncorrected formation energy	-0.0553	eV per atom

abc: 4.2302 4.2302 2.7085
angles: 90.00 90.00 90.00
Each line ends with the local moment (μB).
Element x y z (fractional)
Co 0.5000 0.5000 0.0000  0.95
Co 0.0000 0.0000 0.0000  0.95
Si 0.0000 0.5000 0.5000  -0.02
Ir 0.5000 0.0000 0.5000  0.22


Entry 12:
A plane-wave DFT calculation with PBE was carried out for crystalline LiPm3Ag3 at its relaxed geometry.

Results
formation energy	-0.181	eV per atom
crystal system	orthorhombic

abc: 4.7942 3.6376 10.4765
angles: 100.00 103.23 90.00
Element x y z (fractional)
Pm 0.0056 0.0056 0.0111
Pm 0.3042 0.8042 0.6084
Ag 0.5608 0.5608 0.1216
Li 0.4329 0.4329 0.8658
Ag 0.1412 0.6412 0.2825
Ag 0.8642 0.3642 0.7284
Pm 0.6910 0.1910 0.3821


Entry 13:
A plane-wave DFT calculation with PBE was carried out for crystalline Be2RuPb at its relaxed geometry.

Results
formation energy	0.367	eV per atom
crystal system	tetragonal

abc: 4.8481 4.8481 4.8481
angles: 135.16 135.16 65.28
Element x y z (fractional)
Ru 0.7500 0.2500 0.5000
Be 0.2500 0.7500 0.5000
Pb 0.5000 0.5000 0.0000
Be 0.0000 0.0000 0.0000


| no. | theoretical density (g/cm³) | magnetic moment (μB per formula unit) |
| --- | --- | --- |
| 1 | 7.06 | 0.00 |
| 2 | 6.55 | 0.00 |
| 3 | 5.98 | 0.00 |
| 4 | 7.60 | 0.00 |
| 5 | 12.60 | 0.00 |
| 6 | 4.98 | 0.00 |
| 7 | 8.84 | 0.00 |
| 8 | 15.05 | 0.00 |
| 9 | 8.69 | 0.00 |
| 10 | 6.09 | 0.00 |
| 11 | 11.59 | 2.07 |
| 12 | 7.26 | 0.00 |
| 13 | 9.70 | 0.00 |